DyHoBe | PBE | optimized geometry

## Properties
Magnetization   0.0 μB per formula unit
Calculated density   7.96 g/cm3
Space group   No. 62
Uncorrected energy   -50.783 eV per cell

a = 4.841 Å, b = 8.733 Å, c = 6.640 Å
α = 90.00°, β = 90.00°, γ = 90.00°
Atoms (fractional coordinates):
Be  0.250  0.097  0.267
Be  0.750  0.903  0.733
Ho  0.250  0.081  0.842
Dy  0.750  0.185  0.512
Be  0.750  0.597  0.233
Ho  0.750  0.581  0.658
Ho  0.250  0.419  0.342
Dy  0.250  0.815  0.488
Dy  0.750  0.315  0.012
Be  0.250  0.403  0.767
Dy  0.250  0.685  0.988
Ho  0.750  0.919  0.158